1.
LaNd2Y2Er2: optimized geometry, PBE.

As for the electronic total energy: -5.126 eV/atom. The formation energy comes out at 0.091 eV/atom. The density of states at the Fermi level is 24.62 states/eV per cell.

Unit cell a=11.841 b=3.540 c=11.903 alpha=90.00 beta=108.36 gamma=90.00
Space group C2/m (No. 12)
Asymmetric unit:
1 La 0.000 0.000 0.000 [2 per cell]
2 Nd 0.173 0.500 0.585 [4 per cell]
3 Y 0.048 0.500 0.274 [4 per cell]
4 Er 0.226 0.000 0.863 [4 per cell]


2.
InH6Ir2Rh: optimized geometry, PBE.

As for the electronic total energy: -4.686 eV/atom. The density of states at the Fermi level is 12.82 states/eV per cell.

Unit cell a=7.398 b=8.615 c=5.614 alpha=90.00 beta=97.18 gamma=90.00
Space group C2/c (No. 15)
Asymmetric unit:
1 In 0.000 0.158 0.250 [4 per cell]
2 H 0.067 0.420 0.087 [8 per cell]
3 H 0.155 0.270 0.649 [8 per cell]
4 H 0.233 0.041 0.572 [8 per cell]
5 Ir 0.207 0.121 0.846 [8 per cell]
6 Rh 0.000 0.401 0.750 [4 per cell]


3.
Nd4HoAu5: optimized geometry, PBE.

As for the electronic total energy: -4.789 eV/atom. The formation energy comes out at -0.786 eV/atom. The density of states at the Fermi level is 6.21 states/eV per cell.

Unit cell a=3.661 b=3.661 c=18.750 alpha=90.00 beta=90.00 gamma=90.00
Space group P4/mmm (No. 123)
Asymmetric unit:
1 Nd 0.000 0.000 0.101 [2 per cell]
2 Nd 0.000 0.000 0.304 [2 per cell]
3 Ho 0.000 0.000 0.500 [1 per cell]
4 Au 0.500 0.500 0.000 [1 per cell]
5 Au 0.500 0.500 0.202 [2 per cell]
6 Au 0.500 0.500 0.410 [2 per cell]